A plane-wave DFT calculation with PBE was carried out for a relaxed Np3HgSe6 crystal.

Geometry as POSCAR:
```
Np3HgSe6
1.0
-1.6012 3.1476 -5.9979
-5.7245 -6.4404 -1.8515
-5.1258 5.6941 4.3565
Se Np Hg
12 6 2
Direct
0.1313 0.7735 0.2265
0.1949 0.0282 0.9718
0.7294 0.9130 0.4610
0.2294 0.0870 0.5390
0.6775 0.6241 0.6980
0.1775 0.6980 0.6241
0.6313 0.2265 0.7735
0.1775 0.3759 0.3020
0.7294 0.5390 0.0870
0.2294 0.4610 0.9130
0.6775 0.3020 0.3759
0.6949 0.9718 0.0282
0.9799 0.0837 0.2773
0.8789 0.5989 0.4011
0.9799 0.7227 0.9163
0.3789 0.4011 0.5989
0.4799 0.2773 0.0837
0.4799 0.9163 0.7227
0.5068 0.7887 0.2113
0.0068 0.2113 0.7887
```

Calculated values
Energy relative to the elements, uncorrected (kJ per mole of atoms): -89.8
Space group: Cmc2_1, No. 36
DOS at the Fermi energy (states/eV/f.u.): 31.4